Below is an optimized crystal structure of Ta2AlB, with properties calculated at the PBE level.

Geometry as CIF:
```
data_Ta2AlB
_chemical_formula_sum 'Ta6 Al3 B3'
_symmetry_space_group_name_H-M 'R -3 m'
_symmetry_Int_Tables_number 166
_symmetry_space_group_name_Hall '-R 3 2"'
_cell_length_a 3.1670
_cell_length_b 3.1670
_cell_length_c 21.2703
_cell_angle_alpha 90.00
_cell_angle_beta 90.00
_cell_angle_gamma 120.00
loop_
_atom_site_label
_atom_site_fract_x
_atom_site_fract_y
_atom_site_fract_z
_atom_site_occupancy
Ta1 0.0000 0.0000 0.2265 1
Al1 0.0000 0.0000 0.0000 1
B1 0.0000 0.0000 0.5000 1
```

Its polymorph energy (0 for the lowest one) is 0.0 meV per atom. As for the total magnetic moment: 0.0 μB/cell. The value obtained for the formation energy is -378 meV/atom. The calculation puts the total energy at -35.64 eV/f.u. For the theoretical density, the calculation gives 10.78 g/cm3.

***

Below is an optimized crystal structure of Ni14GeW, with properties calculated at the PBE level.

Geometry as CIF:
```
data_Ni14GeW
_chemical_formula_sum 'Ni14 Ge1 W1'
_symmetry_space_group_name_H-M 'P 4/m m m'
_symmetry_Int_Tables_number 123
_symmetry_space_group_name_Hall '-P 4 2'
_cell_length_a 5.076
_cell_length_b 5.076
_cell_length_c 7.018
_cell_angle_alpha 90.00
_cell_angle_beta 90.00
_cell_angle_gamma 90.00
loop_
_atom_site_label
_atom_site_fract_x
_atom_site_fract_y
_atom_site_fract_z
_atom_site_occupancy
Ni1 0.000 0.000 0.000 1
Ni2 0.000 0.500 0.000 1
Ni3 0.000 0.500 0.500 1
Ni4 0.250 0.250 0.247 1
Ni5 0.500 0.500 0.000 1
Ge1 0.000 0.000 0.500 1
W1 0.500 0.500 0.500 1
```

As for the total magnetic moment: 3.3 μB/cell. The value obtained for the formation energy is -66 meV/atom. The calculation puts the total energy at -99.57 eV/f.u. For the theoretical density, the calculation gives 9.90 g/cm3.

***

Below is an optimized crystal structure of MnBeCo, with properties calculated at the PBE level.

Geometry as CIF:
```
data_MnBeCo
_chemical_formula_sum 'Mn4 Be4 Co4'
_symmetry_space_group_name_H-M 'C 1 2/m 1'
_symmetry_Int_Tables_number 12
_symmetry_space_group_name_Hall '-C 2y'
_cell_length_a 8.760
_cell_length_b 2.619
_cell_length_c 5.179
_cell_angle_alpha 90.00
_cell_angle_beta 106.69
_cell_angle_gamma 90.00
loop_
_atom_site_label
_atom_site_fract_x
_atom_site_fract_y
_atom_site_fract_z
_atom_site_occupancy
Mn1 0.169 0.000 0.089 1
Be1 0.005 0.500 0.753 1
Co1 0.156 0.000 0.576 1
```

Its polymorph energy (0 for the lowest one) is 29.4 meV per atom. As for the total magnetic moment: 1.7 μB/cell. The value obtained for the formation energy is -129 meV/atom. The calculation puts the total energy at -20.39 eV/f.u. For the theoretical density, the calculation gives 7.17 g/cm3.

***

Below is an optimized crystal structure of CaZn2Sn2, with properties calculated at the PBE level.

Geometry as CIF:
```
data_CaZn2Sn2
_chemical_formula_sum 'Ca2 Zn4 Sn4'
_symmetry_space_group_name_H-M 'P 4/m b m'
_symmetry_Int_Tables_number 127
_symmetry_space_group_name_Hall '-P 4 2ab'
_cell_length_a 8.034
_cell_length_b 8.034
_cell_length_c 3.579
_cell_angle_alpha 90.00
_cell_angle_beta 90.00
_cell_angle_gamma 90.00
loop_
_atom_site_label
_atom_site_fract_x
_atom_site_fract_y
_atom_site_fract_z
_atom_site_occupancy
Ca1 0.000 0.000 0.000 1
Zn1 0.117 0.383 0.000 1
Sn1 0.178 0.678 0.500 1
```

As for the total magnetic moment: 0.0 μB/cell. The value obtained for the formation energy is -193 meV/atom. The calculation puts the total energy at -13.52 eV/f.u. For the theoretical density, the calculation gives 5.87 g/cm3.